Record 1
Entry from Alexandria via LeMat-Bulk: Tb3PrTh2N6 after structural relaxation (GGA-PBE).

a = 3.5949 Å, b = 7.1744 Å, c = 8.0084 Å
α = 102.79°, β = 102.97°, γ = 90.00°
Last column: nearest neighbours and their distance in Å.
Fractional coordinates of all 12 atoms:
Th 0.8345 0.6697 0.6690  6 N 2.49-2.55
Th 0.1655 0.3303 0.3310  6 N 2.49-2.55
Tb 0.1654 0.8346 0.3307  6 N 2.49-2.55
Tb 0.5000 0.5000 0.0000  6 N 2.48-2.54
Tb 0.8346 0.1654 0.6693  6 N 2.49-2.55
N 0.0017 0.2618 0.0034  3 Tb 2.48-2.54, 1 Th 2.49, 2 Pr 2.60
N 0.3332 0.4170 0.6664  3 Tb 2.54-2.55, 3 Th 2.55
N 0.9983 0.7382 0.9966  3 Tb 2.48-2.54, 1 Th 2.49, 2 Pr 2.60
N 0.6668 0.5830 0.3336  3 Tb 2.54-2.55, 3 Th 2.55
N 0.3293 0.9135 0.6587  3 Tb 2.49-2.54, 2 Th 2.52, 1 Pr 2.59
N 0.6707 0.0865 0.3413  3 Tb 2.49-2.54, 2 Th 2.52, 1 Pr 2.59
Pr 0.5000 0.0000 0.0000  6 N 2.59-2.60

calculated volume	196	Å³ per cell
electronic total energy	-0.314	Ha/atom
total moment	0.000	μB per atom
formation energy from raw total energies	-18.964	eV/f.u.
Fermi-level density of states	2.71	states/eV per cell

=====

Record 2
Entry from Alexandria via LeMat-Bulk: AcLa4Nd6 after structural relaxation (GGA-PBE).

a = 7.9925 Å, b = 7.9925 Å, c = 8.7370 Å
α = 117.22°, β = 117.22°, γ = 90.00°
Last column: nearest neighbours and their distance in Å.
Fractional coordinates of all 11 atoms:
La 0.7511 0.0984 0.8496  3 Nd 3.12-3.22, 2 La 3.42
La 0.9016 0.9016 0.1504  3 Nd 3.12-3.22, 2 La 3.42
La 0.2489 0.2489 0.1504  3 Nd 3.12-3.22, 2 La 3.42
La 0.0984 0.7511 0.8496  3 Nd 3.12-3.22, 2 La 3.42
Ac 0.5000 0.5000 0.0000  8 Nd 3.82-4.00, 4 La 3.82
Nd 0.9425 0.4412 0.3837  1 La 3.22
Nd 0.4412 0.9425 0.3837  1 La 3.22
Nd 0.0575 0.0575 0.6163  1 La 3.22
Nd 0.5588 0.5588 0.6163  1 La 3.22
Nd 0.0000 0.5000 0.0000  4 La 3.12
Nd 0.5000 0.0000 0.0000  4 La 3.12

calculated volume	426	Å³ per cell
electronic total energy	-0.163	Ha/atom
total moment	0.000	μB per atom
energy relative to the elements	3.77	eV/f.u.
Fermi-level density of states	18.37	states/eV per cell

=====

Record 3
Entry from Alexandria via LeMat-Bulk: ScNi5B after structural relaxation (GGA-PBE).

a = 3.5305 Å, b = 3.5306 Å, c = 6.3845 Å
α = 90.00°, β = 90.00°, γ = 90.00°
Last column: nearest neighbours and their distance in Å.
Fractional coordinates of all 7 atoms:
B 0.5000 0.5000 0.0000  8 Ni 2.13
Ni 0.0000 0.5000 0.8135  2 B 2.13, 1 Ni 2.38
Ni 0.5000 0.5000 0.5000  4 Sc 2.50, 8 Ni 2.67
Ni 0.5000 0.0000 0.1865  2 B 2.13, 1 Ni 2.38
Ni 0.0000 0.5000 0.1865  2 B 2.13, 1 Ni 2.38
Ni 0.5000 0.0000 0.8135  2 B 2.13, 1 Ni 2.38
Sc 0.0000 0.0000 0.5000  12 Ni 2.50-2.67

calculated volume	80	Å³ per cell
electronic total energy	-0.231	Ha/atom
total moment	0.000	μB per atom
energy relative to the elements	-2.07	eV/f.u.
Fermi-level density of states	6.25	states/eV per cell

=====

Record 4
Entry from Alexandria via LeMat-Bulk: ScC2 after structural relaxation (GGA-PBE).

a = 5.6749 Å, b = 5.6749 Å, c = 2.8888 Å
α = 90.00°, β = 90.00°, γ = 90.00°
Last column: nearest neighbours and their distance in Å.
Fractional coordinates of all 6 atoms:
C 0.2237 0.2237 0.0000  3 Sc 2.22-2.30
C 0.2763 0.7237 0.5000  3 Sc 2.22-2.30
C 0.7763 0.7763 0.0000  3 Sc 2.22-2.30
C 0.7237 0.2763 0.5000  3 Sc 2.22-2.30
Sc 0.0000 0.0000 0.5000  6 C 2.22-2.30
Sc 0.5000 0.5000 0.0000  6 C 2.22-2.30

calculated volume	93	Å³ per cell
electronic total energy	-0.220	Ha/atom
total moment	0.000	μB per atom
energy relative to the elements	6.78	eV/f.u.
Fermi-level density of states	5.25	states/eV per cell

=====

Record 5
Entry from Alexandria via LeMat-Bulk: CaMgSe2 after structural relaxation (GGA-PBE).

a = 3.6437 Å, b = 3.8515 Å, c = 7.1722 Å
α = 79.50°, β = 90.00°, γ = 90.00°
Last column: nearest neighbours and their distance in Å.
Fractional coordinates of all 4 atoms:
Se 0.0000 0.6593 0.4970  2 Mg 2.64
Se 0.0000 0.8407 0.0030  2 Mg 2.64
Ca 0.5000 0.2500 0.2500  8 Se 3.16-3.19
Mg 0.5000 0.7500 0.7500  4 Se 2.64

calculated volume	99	Å³ per cell
electronic total energy	-0.146	Ha/atom
total moment	0.000	μB per atom
formation energy from raw total energies	-5.305	eV/f.u.

=====

Record 6
Entry from Alexandria via LeMat-Bulk: CrSbHS2 after structural relaxation (GGA-PBE).

a = 4.2642 Å, b = 5.4286 Å, c = 4.2642 Å
α = 90.00°, β = 90.00°, γ = 90.00°
Last column: nearest neighbours and their distance in Å.
Fractional coordinates of all 5 atoms:
H 0.5000 0.5000 0.5000  4 Sb 3.02
S 0.5000 0.0000 0.0000  2 Cr 2.13
S 0.0000 0.0000 0.5000  2 Cr 2.13
Sb 0.0000 0.5000 0.0000  2 Cr 2.71, 4 H 3.02
Cr 0.0000 0.0000 0.0000  4 S 2.13

calculated volume	99	Å³ per cell
electronic total energy	-0.169	Ha/atom
total moment	0.000	μB per atom
Fermi-level density of states	3.10	states/eV per cell

=====

Record 7
Entry from Alexandria via LeMat-Bulk: ScTiRu2N after structural relaxation (GGA-PBE).

a = 4.1544 Å, b = 4.0445 Å, c = 4.1544 Å
α = 90.00°, β = 90.00°, γ = 90.00°
Last column: nearest neighbours and their distance in Å.
Fractional coordinates of all 5 atoms:
Ti 0.0000 0.5000 0.0000  2 N 2.02
Sc 0.5000 0.5000 0.5000  8 Ru 2.90, 4 Ti 2.94
Ru 0.5000 0.0000 0.0000  2 N 2.08
Ru 0.0000 0.0000 0.5000  2 N 2.08
N 0.0000 0.0000 0.0000  2 Ti 2.02, 4 Ru 2.08

calculated volume	70	Å³ per cell
electronic total energy	-0.320	Ha/atom
total moment	0.000	μB per atom
formation energy from raw total energies	-2.399	eV/f.u.
Fermi-level density of states	5.37	states/eV per cell

=====

Record 8
Entry from Alexandria via LeMat-Bulk: V2Pd2Rh3 after structural relaxation (GGA-PBE).

a = 3.7653 Å, b = 2.7098 Å, c = 10.1669 Å
α = 90.00°, β = 100.67°, γ = 90.00°
Last column: nearest neighbours and their distance in Å.
Fractional coordinates of all 7 atoms:
V 0.8658 0.0000 0.7315  5 Rh 2.65-2.68, 4 Pd 2.70, 2 V 2.71
V 0.1342 0.0000 0.2685  5 Rh 2.65-2.68, 4 Pd 2.70, 2 V 2.71
Rh 0.4300 0.5000 0.8600  4 V 2.65, 1 Pd 2.67, 7 Rh 2.71-2.80
Rh 0.0000 0.0000 0.0000  2 V 2.68, 10 Rh 2.71
Rh 0.5700 0.5000 0.1400  4 V 2.65, 1 Pd 2.67, 7 Rh 2.71-2.80
Pd 0.2963 0.5000 0.5926  4 Pd 2.64-2.71, 1 Rh 2.67, 4 V 2.70
Pd 0.7037 0.5000 0.4074  4 Pd 2.64-2.71, 1 Rh 2.67, 4 V 2.70

calculated volume	102	Å³ per cell
electronic total energy	-0.272	Ha/atom
total moment	0.000	μB per atom
energy relative to the elements	-1.16	eV/f.u.
Fermi-level density of states	8.26	states/eV per cell

=====

Among the records above, which one has the highest calculated volume?
AcLa4Nd6

=====

Number 5 is which compound?
CaMgSe2

=====

What is the calculated volume in the fifth record?
99 Å³ per cell